No. 1
{"formula": "Er4Sn2C", "functional": "PBE-GGA", "state": "optimized geometry", "e_above_lowest_polymorph_mev_per_atom": 0.0, "sg": "No. 139", "lattice_angstrom": [[-2.374, 2.374, 7.896], [2.374, -2.374, 7.896], [2.374, 2.374, -7.896]], "species": ["Er", "Er", "Er", "Er", "Sn", "Sn", "C"], "fractional_positions": [[0.000, 0.500, 0.500], [0.158, 0.158, 0.000], [0.500, 0.000, 0.500], [0.842, 0.842, 0.000], [0.359, 0.359, 0.000], [0.641, 0.641, 0.000], [0.000, 0.000, 0.000]]}

=====

No. 2
{"formula": "Tb2ErSnC", "functional": "PBE-GGA", "state": "optimized geometry", "sg": "No. 123", "lattice_angstrom": [[4.920, 0.000, 0.000], [0.000, 4.920, 0.000], [0.000, 0.000, 4.841]], "species": ["Tb", "Tb", "Er", "Sn", "C"], "fractional_positions": [[0.000, 0.500, 0.000], [0.500, 0.000, 0.000], [0.000, 0.000, 0.500], [0.500, 0.500, 0.500], [0.000, 0.000, 0.000]]}

=====

No. 3
{"formula": "Tb3ErSn2C", "functional": "PBE-GGA", "state": "optimized geometry", "sg": "No. 71", "lattice_angstrom": [[-2.384, 2.409, 8.010], [2.384, -2.409, 8.010], [2.384, 2.409, -8.010]], "species": ["Tb", "Tb", "Tb", "Er", "Sn", "Sn", "C"], "fractional_positions": [[0.000, 0.000, 0.000], [0.341, 0.841, 0.500], [0.659, 0.159, 0.500], [0.500, 0.500, 0.000], [0.140, 0.640, 0.500], [0.860, 0.360, 0.500], [0.500, 0.000, 0.500]]}

=====

Going through the records in order, we get energy relative to the elements values of -678; -626; -674 meV/atom.